The following is a DFT calculation (PBE-GGA) of a geometry-optimized AsRuCl2 structure.

Cell lengths 4.6319, 4.6319, 4.6319 Å; angles 60.00, 60.00, 60.00 degrees
Fractional positions:
Ru 0.5000 0.5000 0.5000
As 0.0000 0.0000 0.0000
Cl 0.2500 0.2500 0.2500
Cl 0.7500 0.7500 0.7500

Properties
SG = Fm-3m
mass density = 5.8 Mg/m³
formation energy from raw total energies = 0.778 eV per atom
energy relative to the lowest polymorph listed for this composition = 426 kJ/mol of formula units

=====

The following is a DFT calculation (PBE-GGA) of a geometry-optimized SmDy7Ho5 structure.

Cell lengths 6.6578, 8.6628, 8.6628 Å; angles 79.69, 67.40, 67.40 degrees
Fractional positions:
Sm 0.9654 0.0346 0.0346
Dy 0.5761 0.4239 0.4239
Dy 0.2697 0.7303 0.7303
Dy 0.0189 0.3099 0.6523
Dy 0.0189 0.6523 0.3099
Dy 0.2676 0.2324 0.2324
Dy 0.5195 0.8100 0.1510
Dy 0.5195 0.1510 0.8100
Ho 0.5349 0.0027 0.4604
Ho 0.0020 0.0027 0.4604
Ho 0.5349 0.4604 0.0027
Ho 0.0020 0.4604 0.0027
Ho 0.7705 0.7295 0.7295

Properties
SG = Imm2
mass density = 8.2 Mg/m³

=====

Number 1: energy -3.626 eV per atom. Number 2: energy -4.349 eV per atom.